# Pm2Sn3Rh2

Crystalline Pm2Sn3Rh2 at its relaxed geometry (PBE, the Alexandria database).

Values from the calculation:
- Space-group type: C2/m (12)
- Crystal system: monoclinic
- Excess energy over the best structure of this formula in the dataset: 0.000 eV/atom
- Density of states at the Fermi level: 0.7452 states/eV per atom
- Formation energy: -0.720 eV/atom
- Final energy: -5.893 eV/atom

Cell lengths 10.702, 4.424, 7.380 Å; angles 90.00, 114.14, 90.00 degrees
Fractional positions:
Pm: 0.149 0.000 0.292
Pm: 0.351 0.500 0.708
Pm: 0.649 0.500 0.292
Pm: 0.851 0.000 0.708
Sn: 0.000 0.500 0.500
Sn: 0.126 0.500 0.950
Sn: 0.374 0.000 0.050
Sn: 0.500 0.000 0.500
Sn: 0.626 0.000 0.950
Sn: 0.874 0.500 0.050
Rh: 0.138 0.000 0.714
Rh: 0.362 0.500 0.286
Rh: 0.638 0.500 0.714
Rh: 0.862 0.000 0.286



# Pm2Sn3Rh2

Crystalline Pm2Sn3Rh2 at its relaxed geometry (PBE, the Alexandria database).

Values from the calculation:
- Space-group type: Cmcm (63)
- Crystal system: orthorhombic
- Excess energy over the best structure of this formula in the dataset: 0.010 eV/atom
- Density of states at the Fermi level: 0.6953 states/eV per atom
- Formation energy: -0.710 eV/atom
- Final energy: -5.883 eV/atom

Cell lengths 10.126, 10.126, 7.496 Å; angles 90.00, 90.00, 154.85 degrees
Fractional positions:
Pm: 0.050 0.950 0.750
Pm: 0.167 0.833 0.250
Pm: 0.833 0.167 0.750
Pm: 0.950 0.050 0.250
Sn: 0.214 0.786 0.750
Sn: 0.431 0.569 0.557
Sn: 0.431 0.569 0.943
Sn: 0.569 0.431 0.057
Sn: 0.569 0.431 0.443
Sn: 0.786 0.214 0.250
Rh: 0.301 0.699 0.043
Rh: 0.301 0.699 0.457
Rh: 0.699 0.301 0.543
Rh: 0.699 0.301 0.957



# Pm3SnRh4

Crystalline Pm3SnRh4 at its relaxed geometry (PBE, the Alexandria database).

Values from the calculation:
- Space-group type: Immm (71)
- Crystal system: orthorhombic
- Density of states at the Fermi level: 0.4579 states/eV per atom
- Formation energy: -0.580 eV/atom
- Final energy: -6.537 eV/atom

Cell lengths 3.968, 6.053, 15.576 Å; angles 90.00, 90.00, 90.00 degrees
Fractional positions:
Pm: 0.000 0.000 0.000
Pm: 0.000 0.500 0.196
Pm: 0.000 0.500 0.804
Pm: 0.500 0.000 0.304
Pm: 0.500 0.000 0.696
Pm: 0.500 0.500 0.500
Sn: 0.000 0.000 0.500
Sn: 0.500 0.500 0.000
Rh: 0.000 0.285 0.377
Rh: 0.000 0.285 0.623
Rh: 0.000 0.715 0.377
Rh: 0.000 0.715 0.623
Rh: 0.500 0.215 0.123
Rh: 0.500 0.215 0.877
Rh: 0.500 0.785 0.123
Rh: 0.500 0.785 0.877



# PmSn12Rh6

Crystalline PmSn12Rh6 at its relaxed geometry (PBE, the Alexandria database).

Values from the calculation:
- Space-group type: R-3m (166)
- Crystal system: trigonal
- Density of states at the Fermi level: 0.6696 states/eV per atom
- Formation energy: -0.299 eV/atom
- Final energy: -5.398 eV/atom

Cell lengths 7.936, 7.936, 7.936 Å; angles 106.53, 106.53, 106.53 degrees
Fractional positions:
Pm: 0.000 0.000 0.000
Sn: 0.122 0.500 0.878
Sn: 0.122 0.878 0.500
Sn: 0.142 0.395 0.395
Sn: 0.395 0.142 0.395
Sn: 0.395 0.395 0.142
Sn: 0.500 0.122 0.878
Sn: 0.500 0.878 0.122
Sn: 0.605 0.605 0.858
Sn: 0.605 0.858 0.605
Sn: 0.858 0.605 0.605
Sn: 0.878 0.122 0.500
Sn: 0.878 0.500 0.122
Rh: 0.283 0.283 0.699
Rh: 0.283 0.699 0.283
Rh: 0.301 0.717 0.717
Rh: 0.699 0.283 0.283
Rh: 0.717 0.301 0.717
Rh: 0.717 0.717 0.301



# Pm12SnRh5

Crystalline Pm12SnRh5 at its relaxed geometry (PBE, the Alexandria database).

Values from the calculation:
- Space-group type: Immm (71)
- Crystal system: orthorhombic
- Density of states at the Fermi level: 0.7081 states/eV per atom
- Formation energy: -0.560 eV/atom
- Final energy: -5.992 eV/atom

Cell lengths 8.648, 8.648, 8.648 Å; angles 112.25, 111.05, 105.20 degrees
Fractional positions:
Pm: 0.031 0.219 0.812
Pm: 0.180 0.291 0.471
Pm: 0.180 0.709 0.889
Pm: 0.326 0.019 0.693
Pm: 0.326 0.634 0.307
Pm: 0.407 0.219 0.188
Pm: 0.593 0.781 0.812
Pm: 0.674 0.366 0.693
Pm: 0.674 0.981 0.307
Pm: 0.820 0.291 0.111
Pm: 0.820 0.709 0.529
Pm: 0.969 0.781 0.188
Sn: 0.500 0.500 0.000
Rh: 0.000 0.000 0.000
Rh: 0.131 0.631 0.500
Rh: 0.344 0.000 0.344
Rh: 0.656 0.000 0.656
Rh: 0.869 0.369 0.500



# PmSn2Rh3

Crystalline PmSn2Rh3 at its relaxed geometry (PBE, the Alexandria database).

Values from the calculation:
- Space-group type: C2/m (12)
- Crystal system: monoclinic
- Excess energy over the best structure of this formula in the dataset: 0.039 eV/atom
- Density of states at the Fermi level: 0.6114 states/eV per atom
- Formation energy: -0.607 eV/atom
- Final energy: -6.408 eV/atom

Cell lengths 9.017, 9.017, 10.102 Å; angles 106.65, 106.65, 27.38 degrees
Fractional positions:
Pm: 0.000 0.000 0.000
Pm: 0.171 0.171 0.716
Pm: 0.829 0.829 0.284
Sn: 0.189 0.189 0.122
Sn: 0.360 0.360 0.542
Sn: 0.461 0.461 0.221
Sn: 0.539 0.539 0.779
Sn: 0.640 0.640 0.458
Sn: 0.811 0.811 0.878
Rh: 0.043 0.043 0.338
Rh: 0.212 0.212 0.392
Rh: 0.318 0.318 0.042
Rh: 0.388 0.388 0.812
Rh: 0.500 0.500 0.500
Rh: 0.612 0.612 0.188
Rh: 0.682 0.682 0.958
Rh: 0.788 0.788 0.608
Rh: 0.957 0.957 0.662



# Pm3SnRh2

Crystalline Pm3SnRh2 at its relaxed geometry (PBE, the Alexandria database).

Values from the calculation:
- Space-group type: R-3c (167)
- Crystal system: trigonal
- Density of states at the Fermi level: 0.7245 states/eV per atom
- Formation energy: -0.613 eV/atom
- Final energy: -6.106 eV/atom

Cell lengths 7.327, 7.327, 7.327 Å; angles 67.39, 67.39, 67.39 degrees
Fractional positions:
Pm: 0.056 0.750 0.444
Pm: 0.250 0.556 0.944
Pm: 0.444 0.056 0.750
Pm: 0.556 0.944 0.250
Pm: 0.750 0.444 0.056
Pm: 0.944 0.250 0.556
Sn: 0.000 0.000 0.000
Sn: 0.500 0.500 0.500
Rh: 0.164 0.164 0.164
Rh: 0.336 0.336 0.336
Rh: 0.664 0.664 0.664
Rh: 0.836 0.836 0.836



# PmSn2Rh

Crystalline PmSn2Rh at its relaxed geometry (PBE, the Alexandria database).

Values from the calculation:
- Space-group type: P4/mmm (123)
- Crystal system: tetragonal
- Excess energy over the best structure of this formula in the dataset: 0.157 eV/atom
- Density of states at the Fermi level: 0.4112 states/eV per atom
- Formation energy: -0.538 eV/atom
- Final energy: -5.565 eV/atom

Cell lengths 3.399, 3.399, 7.619 Å; angles 90.00, 90.00, 90.00 degrees
Fractional positions:
Pm: 0.000 0.000 0.000
Sn: 0.500 0.500 0.297
Sn: 0.500 0.500 0.703
Rh: 0.000 0.000 0.500